No. 1
# Mn5SiRh6 | the Alexandria database | PBE-GGA | relaxed
data_Mn5SiRh6
_chemical_formula_sum 'Mn5 Si1 Rh6'
_cell_length_a 4.2743
_cell_length_b 7.4051
_cell_length_c 7.4051
_cell_angle_alpha 119.99
_cell_angle_beta 106.76
_cell_angle_gamma 106.76
_symmetry_space_group_name_H-M 'P 1'
_symmetry_Int_Tables_number 1
loop_
_symmetry_equiv_pos_as_xyz
'x,y,z'
loop_
_atom_site_label
_atom_site_fract_x
_atom_site_fract_y
_atom_site_fract_z
Rh1 0.2445 0.0810 0.4079
Rh2 0.7555 0.9190 0.5921
Mn1 0.5000 0.5000 0.5000
Si1 0.0000 0.0000 0.0000
Rh3 0.7555 0.5921 0.9190
Rh4 0.2445 0.4079 0.0810
Rh5 0.7392 0.2396 0.2396
Mn2 0.0000 0.3347 0.6653
Rh6 0.2608 0.7604 0.7604
Mn3 0.5000 0.8299 0.1701
Mn4 0.5000 0.1701 0.8299
Mn5 0.0000 0.6653 0.3347
# ρ: 9213 kg/m³
# Total energy: -8.282 eV per atom
# SG: Immm (71)
# Fermi-level density of states: 0.6564 states/eV per atom
# Formation energy from raw total energies: -0.334 eV/atom


No. 2
# Ac2ErTh | the Alexandria database | PBE-GGA | relaxed
data_Ac2ErTh
_chemical_formula_sum 'Ac2 Er1 Th1'
_cell_length_a 3.6710
_cell_length_b 3.6710
_cell_length_c 13.2950
_cell_angle_alpha 82.06
_cell_angle_beta 82.06
_cell_angle_gamma 60.00
_symmetry_space_group_name_H-M 'P 1'
_symmetry_Int_Tables_number 1
loop_
_symmetry_equiv_pos_as_xyz
'x,y,z'
loop_
_atom_site_label
_atom_site_fract_x
_atom_site_fract_y
_atom_site_fract_z
Ac1 0.0896 0.0896 0.7311
Ac2 0.9104 0.9104 0.2689
Th1 0.0000 0.0000 0.0000
Er1 0.5000 0.5000 0.5000
# ρ: 9250 kg/m³
# Total energy: -4.760 eV per atom
# Formation energy from the elements: 0.290 eV per atom
# SG: R-3m (166)
# Fermi-level density of states: 1.5436 states/eV per atom


Q: Which value of Fermi-level density of states does entry 1 give?
A: 0.6564 states/eV per atom